1.
Entry from Alexandria: PmNp2TaO8 after structural relaxation (PBE-GGA).

Values from the calculation:
Space group ... Cmmm
ΔE_f (raw) ... -3031 meV/atom

a b c (Å): 5.0867 5.0857 6.9090
angles (deg): 90.00 90.00 89.71
Closest atoms and distances in Å follow each position.
Sites, in units of the cell vectors:
Pm 0.0000 0.0000 0.5000  6 O 2.32-2.38
Np 0.5000 0.5000 0.7582  6 O 2.20-2.28
Np 0.5000 0.5000 0.2418  6 O 2.20-2.28
Ta 0.0000 0.0000 0.0000  6 O 2.01-2.05
O 0.1877 0.8116 0.2160  1 Ta 2.01, 1 Np 2.25
O 0.7157 0.7165 0.0000  1 Ta 2.05, 2 Np 2.28
O 0.8123 0.1884 0.2160  1 Ta 2.01, 1 Np 2.25
O 0.8123 0.1884 0.7840  1 Ta 2.01, 1 Np 2.25
O 0.2843 0.2835 0.0000  1 Ta 2.05, 2 Np 2.28
O 0.1877 0.8116 0.7840  1 Ta 2.01, 1 Np 2.25
O 0.6787 0.6793 0.5000  2 Np 2.20, 1 Pm 2.32
O 0.3213 0.3207 0.5000  2 Np 2.20, 1 Pm 2.32

=====

2.
Entry from Alexandria: CaTaTl2 after structural relaxation (PBE-GGA).

Values from the calculation:
Space group ... P2/m
ΔH_f (0 K) ... 0.384 eV per atom

a b c (Å): 3.2324 6.2386 6.1041
angles (deg): 52.55 90.00 90.00
Closest atoms and distances in Å follow each position.
Sites, in units of the cell vectors:
Tl 0.0000 0.0000 0.0000  2 Ta 3.05, 4 Ca 3.17, 2 Tl 3.23
Tl 0.5000 0.5000 0.0000  2 Ca 3.05, 4 Ta 3.17, 2 Tl 3.23
Ca 0.5000 0.5000 0.5000  6 Tl 3.05-3.17, 2 Ca 3.23
Ta 0.0000 0.0000 0.5000  6 Tl 3.05-3.17, 2 Ta 3.23

=====

3.
Entry from Alexandria: Sn12Hg3Bi5 after structural relaxation (PBE-GGA).

Values from the calculation:
Space group ... Ia-3d
ΔH_f (0 K) ... 0.180 eV per atom

a b c (Å): 15.4247 15.4247 15.4247
angles (deg): 109.47 109.47 109.47
Closest atoms and distances in Å follow each position.
Sites, in units of the cell vectors:
Hg 0.7500 0.3750 0.1250  4 Sn 2.93
Hg 0.8750 0.7500 0.1250  4 Sn 2.93
Hg 0.3750 0.7500 0.6250  4 Sn 2.93
Hg 0.2500 0.1250 0.3750  4 Sn 2.93
Hg 0.8750 0.1250 0.2500  4 Sn 2.93
Hg 0.3750 0.6250 0.2500  4 Sn 2.93
Hg 0.6250 0.3750 0.7500  4 Sn 2.93
Hg 0.1250 0.8750 0.7500  4 Sn 2.93
Hg 0.7500 0.8750 0.6250  4 Sn 2.93
Hg 0.6250 0.2500 0.3750  4 Sn 2.93
Hg 0.1250 0.2500 0.8750  4 Sn 2.93
Hg 0.2500 0.6250 0.8750  4 Sn 2.93
Bi 0.1250 0.3750 0.2500  4 Sn 3.04
Bi 0.0000 0.5000 0.0000  6 Sn 3.17
Bi 0.0000 0.0000 0.0000  6 Sn 3.17
Bi 0.3750 0.2500 0.1250  4 Sn 3.04
Bi 0.5000 0.0000 0.5000  6 Sn 3.17
Bi 0.5000 0.5000 0.0000  6 Sn 3.17
Bi 0.1250 0.7500 0.3750  4 Sn 3.04
Bi 0.7500 0.1250 0.8750  4 Sn 3.04
Bi 0.7500 0.6250 0.3750  4 Sn 3.04
Bi 0.3750 0.1250 0.7500  4 Sn 3.04
Bi 0.6250 0.8750 0.2500  4 Sn 3.04
Bi 0.5000 0.5000 0.5000  6 Sn 3.17
Bi 0.5000 0.0000 0.0000  6 Sn 3.17
Bi 0.0000 0.0000 0.5000  6 Sn 3.17
Bi 0.2500 0.3750 0.6250  4 Sn 3.04
Bi 0.2500 0.8750 0.1250  4 Sn 3.04
Bi 0.0000 0.5000 0.5000  6 Sn 3.17
Bi 0.8750 0.2500 0.6250  4 Sn 3.04
Bi 0.6250 0.7500 0.8750  4 Sn 3.04
Bi 0.8750 0.6250 0.7500  4 Sn 3.04
Sn 0.7424 0.1378 0.0733  1 Hg 2.93, 2 Bi 3.04-3.17, 1 Sn 3.11
Sn 0.3308 0.5733 0.4355  1 Hg 2.93, 2 Bi 3.04-3.17, 1 Sn 3.11
Sn 0.9267 0.3622 0.2576  1 Hg 2.93, 2 Bi 3.04-3.17, 1 Sn 3.11
Sn 0.5733 0.2424 0.1378  1 Hg 2.93, 2 Bi 3.04-3.17, 1 Sn 3.11
Sn 0.6047 0.7424 0.6692  1 Hg 2.93, 2 Bi 3.04-3.17, 1 Sn 3.11
Sn 0.9267 0.5645 0.1692  1 Hg 2.93, 2 Bi 3.04-3.17, 1 Sn 3.11
Sn 0.3308 0.7576 0.3953  1 Hg 2.93, 2 Bi 3.04-3.17, 1 Sn 3.11
Sn 0.0645 0.8953 0.1378  1 Hg 2.93, 2 Bi 3.04-3.17, 1 Sn 3.11
Sn 0.5645 0.9267 0.6692  1 Hg 2.93, 2 Bi 3.04-3.17, 1 Sn 3.11
Sn 0.7424 0.6047 0.1692  1 Hg 2.93, 2 Bi 3.04-3.17, 1 Sn 3.11
Sn 0.7576 0.4267 0.3622  1 Hg 2.93, 2 Bi 3.04-3.17, 1 Sn 3.11
Sn 0.8308 0.9355 0.0733  1 Hg 2.93, 2 Bi 3.04-3.17, 1 Sn 3.11
Sn 0.1378 0.7424 0.5733  1 Hg 2.93, 2 Bi 3.04-3.17, 1 Sn 3.11
Sn 0.3622 0.4355 0.1047  1 Hg 2.93, 2 Bi 3.04-3.17, 1 Sn 3.11
Sn 0.1047 0.9355 0.3622  1 Hg 2.93, 2 Bi 3.04-3.17, 1 Sn 3.11
Sn 0.3953 0.1378 0.5645  1 Hg 2.93, 2 Bi 3.04-3.17, 1 Sn 3.11
Sn 0.1047 0.1692 0.2424  1 Hg 2.93, 2 Bi 3.04-3.17, 1 Sn 3.11
Sn 0.4267 0.6692 0.0645  1 Hg 2.93, 2 Bi 3.04-3.17, 1 Sn 3.11
Sn 0.8308 0.8953 0.2576  1 Hg 2.93, 2 Bi 3.04-3.17, 1 Sn 3.11
Sn 0.1378 0.3953 0.0645  1 Hg 2.93, 2 Bi 3.04-3.17, 1 Sn 3.11
Sn 0.3622 0.9267 0.7576  1 Hg 2.93, 2 Bi 3.04-3.17, 1 Sn 3.11
Sn 0.5645 0.6378 0.3953  1 Hg 2.93, 2 Bi 3.04-3.17, 1 Sn 3.11
Sn 0.9355 0.8308 0.5733  1 Hg 2.93, 2 Bi 3.04-3.17, 1 Sn 3.11
Sn 0.7576 0.3308 0.8953  1 Hg 2.93, 2 Bi 3.04-3.17, 1 Sn 3.11
Sn 0.4355 0.3622 0.6047  1 Hg 2.93, 2 Bi 3.04-3.17, 1 Sn 3.11
Sn 0.0645 0.1692 0.4267  1 Hg 2.93, 2 Bi 3.04-3.17, 1 Sn 3.11
Sn 0.2424 0.6692 0.1047  1 Hg 2.93, 2 Bi 3.04-3.17, 1 Sn 3.11
Sn 0.1692 0.1047 0.7424  1 Hg 2.93, 2 Bi 3.04-3.17, 1 Sn 3.11
Sn 0.6378 0.0733 0.2424  1 Hg 2.93, 2 Bi 3.04-3.17, 1 Sn 3.11
Sn 0.8622 0.6047 0.9355  1 Hg 2.93, 2 Bi 3.04-3.17, 1 Sn 3.11
Sn 0.5733 0.3308 0.9355  1 Hg 2.93, 2 Bi 3.04-3.17, 1 Sn 3.11
Sn 0.6047 0.8622 0.4355  1 Hg 2.93, 2 Bi 3.04-3.17, 1 Sn 3.11
Sn 0.8953 0.8308 0.7576  1 Hg 2.93, 2 Bi 3.04-3.17, 1 Sn 3.11
Sn 0.8953 0.0645 0.6378  1 Hg 2.93, 2 Bi 3.04-3.17, 1 Sn 3.11
Sn 0.8622 0.2576 0.4267  1 Hg 2.93, 2 Bi 3.04-3.17, 1 Sn 3.11
Sn 0.1692 0.0645 0.9267  1 Hg 2.93, 2 Bi 3.04-3.17, 1 Sn 3.11
Sn 0.6378 0.5645 0.8953  1 Hg 2.93, 2 Bi 3.04-3.17, 1 Sn 3.11
Sn 0.4355 0.0733 0.3308  1 Hg 2.93, 2 Bi 3.04-3.17, 1 Sn 3.11
Sn 0.2576 0.3953 0.8308  1 Hg 2.93, 2 Bi 3.04-3.17, 1 Sn 3.11
Sn 0.2424 0.5733 0.6378  1 Hg 2.93, 2 Bi 3.04-3.17, 1 Sn 3.11
Sn 0.9355 0.1047 0.8622  1 Hg 2.93, 2 Bi 3.04-3.17, 1 Sn 3.11
Sn 0.6692 0.2424 0.6047  1 Hg 2.93, 2 Bi 3.04-3.17, 1 Sn 3.11
Sn 0.4267 0.7576 0.8622  1 Hg 2.93, 2 Bi 3.04-3.17, 1 Sn 3.11
Sn 0.0733 0.4355 0.8308  1 Hg 2.93, 2 Bi 3.04-3.17, 1 Sn 3.11
Sn 0.3953 0.2576 0.3308  1 Hg 2.93, 2 Bi 3.04-3.17, 1 Sn 3.11
Sn 0.0733 0.6378 0.7424  1 Hg 2.93, 2 Bi 3.04-3.17, 1 Sn 3.11
Sn 0.6692 0.4267 0.5645  1 Hg 2.93, 2 Bi 3.04-3.17, 1 Sn 3.11
Sn 0.2576 0.8622 0.9267  1 Hg 2.93, 2 Bi 3.04-3.17, 1 Sn 3.11

=====

4.
Entry from Alexandria: K2Cd4GaSn3 after structural relaxation (PBE-GGA).

Values from the calculation:
Space group ... P-4m2
ΔH_f (0 K) ... -0.122 eV per atom

a b c (Å): 4.8397 4.8397 12.4174
angles (deg): 90.00 90.00 90.00
Closest atoms and distances in Å follow each position.
Sites, in units of the cell vectors:
K 0.5000 0.0000 0.2516  6 Sn 3.71-3.92, 8 Cd 3.71-3.95, 2 Ga 3.92
K 0.0000 0.5000 0.7484  6 Sn 3.71-3.92, 8 Cd 3.71-3.95, 2 Ga 3.92
Cd 0.5000 0.5000 0.0000  4 Sn 2.96
Cd 0.0000 0.0000 0.0000  4 Sn 2.96
Cd 0.5000 0.0000 0.6328  3 Sn 2.86-2.93, 2 Ga 2.93
Cd 0.0000 0.5000 0.3672  3 Sn 2.86-2.93, 2 Ga 2.93
Ga 0.5000 0.5000 0.5000  4 Cd 2.93
Sn 0.0000 0.0000 0.5000  4 Cd 2.93
Sn 0.5000 0.0000 0.8628  5 Cd 2.86-2.96
Sn 0.0000 0.5000 0.1372  5 Cd 2.86-2.96

=====

| no. | total moment (μB per cell) |
| --- | --- |
| 1 | 6.00 |
| 2 | 0.00 |
| 3 | 0.00 |
| 4 | 0.00 |